Material: RbSr3Cl
Method: DFT, PBE
State: optimized geometry

Results
- total magnetization (μB/f.u.) = 0.00
- SG = Pm-3m, No. 221
- formation energy without anion corrections (eV per formula unit) = -2.4

a b c (Å): 6.430 6.430 6.430
angles (deg): 90.00 90.00 90.00
Element x y z (fractional)
Rb 0.000 0.000 0.000
Sr 0.000 0.500 0.500
Sr 0.500 0.000 0.500
Sr 0.500 0.500 0.000
Cl 0.500 0.500 0.500

---

Material: NdYAu
Method: DFT, PBE
State: optimized geometry

Results
- total magnetization (μB/f.u.) = 0.00
- SG = P2_1/m, No. 11
- ΔE_f (eV/atom) = -0.578

a b c (Å): 7.405 4.992 13.801
angles (deg): 90.00 93.02 90.00
Element x y z (fractional)
Nd 0.006 0.250 0.284
Nd 0.389 0.250 0.079
Nd 0.481 0.250 0.376
Nd 0.519 0.750 0.624
Nd 0.611 0.750 0.921
Nd 0.994 0.750 0.716
Y 0.043 0.750 0.087
Y 0.139 0.750 0.455
Y 0.338 0.250 0.781
Y 0.662 0.750 0.219
Y 0.861 0.250 0.545
Y 0.957 0.250 0.913
Au 0.212 0.750 0.902
Au 0.257 0.250 0.564
Au 0.281 0.750 0.259
Au 0.719 0.250 0.741
Au 0.743 0.750 0.436
Au 0.788 0.250 0.098

---

> Which value of total magnetization does entry 2 give?

0.00 μB/f.u.

---

> Which formula does entry 2 have?

NdYAu

---

Copy entry 2 word for word.
Material: NdYAu
Method: DFT, PBE
State: optimized geometry

Results
- total magnetization (μB/f.u.) = 0.00
- SG = P2_1/m, No. 11
- ΔE_f (eV/atom) = -0.578

a b c (Å): 7.405 4.992 13.801
angles (deg): 90.00 93.02 90.00
Element x y z (fractional)
Nd 0.006 0.250 0.284
Nd 0.389 0.250 0.079
Nd 0.481 0.250 0.376
Nd 0.519 0.750 0.624
Nd 0.611 0.750 0.921
Nd 0.994 0.750 0.716
Y 0.043 0.750 0.087
Y 0.139 0.750 0.455
Y 0.338 0.250 0.781
Y 0.662 0.750 0.219
Y 0.861 0.250 0.545
Y 0.957 0.250 0.913
Au 0.212 0.750 0.902
Au 0.257 0.250 0.564
Au 0.281 0.750 0.259
Au 0.719 0.250 0.741
Au 0.743 0.750 0.436
Au 0.788 0.250 0.098